Ca2InWS: PBEsol geometry, meta-GGA SCAN.

## Properties
As for the uncorrected formation energy: 77.64 kJ per mole of atoms. Its space-group type is P4/mmm. The calculation puts the total magnetic moment at 3.364 μB/cell.

Unit cell a=5.0468 b=5.7029 c=5.7029 alpha=90.00 beta=90.00 gamma=90.00
Each line ends with the local moment (μB).
Fractional positions:
W 0.5000 0.0000 0.0000  2.59
In 0.0000 0.0000 0.0000  -0.08
Ca 0.0000 0.5000 0.0000  -0.02
Ca 0.0000 0.0000 0.5000  -0.02
S 0.5000 0.5000 0.5000  0.00

CaInSb2: PBEsol geometry, meta-GGA SCAN.

## Properties
As for the uncorrected formation energy: -18.90 kJ per mole of atoms. Its space-group type is R3m. The calculation puts the total magnetic moment at 0.000 μB/cell.

Unit cell a=4.0104 b=4.0104 c=8.7480 alpha=76.75 beta=76.75 gamma=60.00
Fractional positions:
Sb 0.7428 0.7428 0.7717
Sb 0.0017 0.0017 0.9949
Ca 0.4981 0.4981 0.5058
In 0.2575 0.2575 0.2276